# NaIrN2 SCAN PBEsol geometry
# E_form (uncorrected) = 857 meV per atom
# Total moment = 0.00 μB/f.u.
data_NaIrN2
_symmetry_space_group_name_H-M 'F m -3 m'
_symmetry_Int_Tables_number 225
_symmetry_space_group_name_Hall '-F 4 2 3'
_cell_length_a 5.252
_cell_length_b 5.252
_cell_length_c 5.252
_cell_angle_alpha 90.00
_cell_angle_beta 90.00
_cell_angle_gamma 90.00
loop_
_atom_site_label
_atom_site_fract_x
_atom_site_fract_y
_atom_site_fract_z
Na1 0.000 0.000 0.000
Ir1 0.000 0.000 0.500
N1 0.250 0.250 0.250


# Na3IrN2 SCAN PBEsol geometry
# E_form (uncorrected) = -92 meV per atom
# Total moment = 0.00 μB/f.u.
data_Na3IrN2
_symmetry_space_group_name_H-M 'P 1 21/c 1'
_symmetry_Int_Tables_number 14
_cell_length_a 7.664
_cell_length_b 6.796
_cell_length_c 11.017
_cell_angle_alpha 90.00
_cell_angle_beta 131.73
_cell_angle_gamma 90.00
loop_
_symmetry_equiv_pos_as_xyz
'x,y,z'
'-x,-y,-z'
'-x,y+1/2,-z+1/2'
'x,-y+1/2,z+1/2'
loop_
_atom_site_label
_atom_site_fract_x
_atom_site_fract_y
_atom_site_fract_z
Na1 0.145 0.009 0.445
Na2 0.201 0.010 0.963
Na3 0.332 0.739 0.745
Ir1 0.267 0.210 0.254
N1 0.044 0.249 0.541
N2 0.462 0.070 0.453


# NaIrS2N SCAN PBEsol geometry
# E_form (uncorrected) = 2031 meV per atom
# Total moment = 1.83 μB/f.u.
data_NaIrS2N
_symmetry_space_group_name_H-M 'P 4/m m m'
_symmetry_Int_Tables_number 123
_symmetry_space_group_name_Hall '-P 4 2'
_cell_length_a 4.693
_cell_length_b 4.693
_cell_length_c 3.825
_cell_angle_alpha 90.00
_cell_angle_beta 90.00
_cell_angle_gamma 90.00
loop_
_atom_site_label
_atom_site_fract_x
_atom_site_fract_y
_atom_site_fract_z
Na1 0.000 0.000 0.000
Ir1 0.500 0.500 0.500
S1 0.000 0.500 0.000
N1 0.000 0.000 0.500


# NbIrN3 SCAN PBEsol geometry
# E_form (uncorrected) = 1046 meV per atom
# Total moment = 0.00 μB/f.u.
data_NbIrN3
_symmetry_space_group_name_H-M 'P m -3 m'
_symmetry_Int_Tables_number 221
_symmetry_space_group_name_Hall '-P 4 2 3'
_cell_length_a 3.815
_cell_length_b 3.815
_cell_length_c 3.815
_cell_angle_alpha 90.00
_cell_angle_beta 90.00
_cell_angle_gamma 90.00
loop_
_atom_site_label
_atom_site_fract_x
_atom_site_fract_y
_atom_site_fract_z
Nb1 0.000 0.000 0.000
Ir1 0.500 0.500 0.500
N1 0.000 0.500 0.500


# NbReIr2N SCAN PBEsol geometry
# E_form (uncorrected) = 2466 meV per atom
# Total moment = 2.82 μB/f.u.
data_NbReIr2N
_symmetry_space_group_name_H-M 'P 4/m m m'
_symmetry_Int_Tables_number 123
_symmetry_space_group_name_Hall '-P 4 2'
_cell_length_a 4.659
_cell_length_b 4.659
_cell_length_c 4.848
_cell_angle_alpha 90.00
_cell_angle_beta 90.00
_cell_angle_gamma 90.00
loop_
_atom_site_label
_atom_site_fract_x
_atom_site_fract_y
_atom_site_fract_z
Nb1 0.000 0.000 0.000
Re1 0.000 0.000 0.500
Ir1 0.000 0.500 0.500
N1 0.500 0.500 0.000


# NbTe2IrN SCAN PBEsol geometry
# E_form (uncorrected) = 880 meV per atom
# Total moment = 0.00 μB/f.u.
data_NbTe2IrN
_symmetry_space_group_name_H-M 'P 4/m m m'
_symmetry_Int_Tables_number 123
_symmetry_space_group_name_Hall '-P 4 2'
_cell_length_a 5.367
_cell_length_b 5.367
_cell_length_c 3.758
_cell_angle_alpha 90.00
_cell_angle_beta 90.00
_cell_angle_gamma 90.00
loop_
_atom_site_label
_atom_site_fract_x
_atom_site_fract_y
_atom_site_fract_z
Nb1 0.000 0.000 0.000
Te1 0.000 0.500 0.000
Ir1 0.500 0.500 0.500
N1 0.000 0.000 0.500


# IrOsNO2 SCAN PBEsol geometry
# E_form (uncorrected) = 1169 meV per atom
# Total moment = 3.22 μB/f.u.
data_IrOsNO2
_symmetry_space_group_name_H-M 'P 4/m m m'
_symmetry_Int_Tables_number 123
_symmetry_space_group_name_Hall '-P 4 2'
_cell_length_a 3.897
_cell_length_b 3.897
_cell_length_c 3.807
_cell_angle_alpha 90.00
_cell_angle_beta 90.00
_cell_angle_gamma 90.00
loop_
_atom_site_label
_atom_site_fract_x
_atom_site_fract_y
_atom_site_fract_z
Ir1 0.000 0.000 0.000
Os1 0.500 0.500 0.500
N1 0.000 0.000 0.500
O1 0.000 0.500 0.000


# PIrNO2 SCAN PBEsol geometry
# E_form (uncorrected) = 667 meV per atom
# Total moment = 0.64 μB/f.u.
data_PIrNO2
_symmetry_space_group_name_H-M 'P 4/m m m'
_symmetry_Int_Tables_number 123
_symmetry_space_group_name_Hall '-P 4 2'
_cell_length_a 3.885
_cell_length_b 3.885
_cell_length_c 3.780
_cell_angle_alpha 90.00
_cell_angle_beta 90.00
_cell_angle_gamma 90.00
loop_
_atom_site_label
_atom_site_fract_x
_atom_site_fract_y
_atom_site_fract_z
P1 0.000 0.000 0.000
Ir1 0.500 0.500 0.500
N1 0.500 0.500 0.000
O1 0.000 0.500 0.500


> total moment of number 2 (Na3IrN2)?

0.00 μB/f.u.


> Which value of total moment does entry 8 give?

0.64 μB/f.u.